Entry 1:
VASP calculation (PBE) on CePu4Sb5 after structural relaxation.

DFT total energy, eV per atom: -9.075
N(E_F), states/eV per atom: 5.2413
Energy relative to the elements, uncorrected, meV per atom: -687
Crystal system: monoclinic

Unit cell a=14.718 b=4.452 c=10.870 alpha=90.00 beta=119.42 gamma=90.00
Space group C2/m (No. 12)
Unique sites:
Ce1 0.000 0.000 0.000
Pu1 0.099 0.500 0.400
Pu2 0.200 0.000 0.798
Sb1 0.000 0.000 0.500
Sb2 0.101 0.500 0.900
Sb3 0.200 0.000 0.301

***

Entry 2:
VASP calculation (PBE) on ThCuBr after structural relaxation.

DFT total energy, eV per atom: -5.199
N(E_F), states/eV per atom: 0.7592
Energy relative to the elements, uncorrected, meV per atom: -803
Crystal system: monoclinic

Unit cell a=7.267 b=4.196 c=11.420 alpha=90.00 beta=91.45 gamma=90.00
Space group C2/m (No. 12)
Unique sites:
Th1 0.006 0.000 0.158
Cu1 0.166 0.500 0.995
Br1 0.180 0.500 0.336

***

Entry 3:
VASP calculation (PBE) on HfThTa4 after structural relaxation.

DFT total energy, eV per atom: -10.721
N(E_F), states/eV per atom: 0.9703
Crystal system: cubic
Formation energy, meV per atom: 77

Unit cell a=8.004 b=8.004 c=8.004 alpha=90.00 beta=90.00 gamma=90.00
Space group F-43m (No. 216)
Unique sites:
Hf1 0.000 0.000 0.000
Th1 0.250 0.250 0.250
Ta1 0.125 0.125 0.625

***

Entry 4:
VASP calculation (PBE) on CePuZrCd after structural relaxation.

DFT total energy, eV per atom: -7.371
N(E_F), states/eV per atom: 3.6759
Crystal system: cubic
Formation energy, meV per atom: 61

Unit cell a=7.330 b=7.330 c=7.330 alpha=90.00 beta=90.00 gamma=90.00
Space group F-43m (No. 216)
Unique sites:
Ce1 0.000 0.000 0.000
Pu1 0.250 0.250 0.750
Zr1 0.000 0.000 0.500
Cd1 0.250 0.250 0.250

***

Entry 5:
VASP calculation (PBE) on La3ScTi after structural relaxation.

DFT total energy, eV per atom: -5.264
N(E_F), states/eV per atom: 3.6951
Crystal system: cubic
Formation energy, meV per atom: 537

Unit cell a=5.568 b=5.568 c=5.568 alpha=90.00 beta=90.00 gamma=90.00
Space group Pm-3m (No. 221)
Unique sites:
La1 0.000 0.000 0.500
Sc1 0.500 0.500 0.500
Ti1 0.000 0.000 0.000

***

Entry 6:
VASP calculation (PBE) on CsLiTlSiBr after structural relaxation.

Energy above the lowest structure with this stoichiometry, meV/atom: 31
DFT total energy, eV per atom: -2.940
N(E_F), states/eV per atom: 0.0345
Energy relative to the elements, uncorrected, meV per atom: -494
Crystal system: triclinic

Unit cell a=4.594 b=4.602 c=9.776 alpha=101.18 beta=92.19 gamma=119.64
Space group P1 (No. 1)
Unique sites:
Cs1 0.000 0.000 0.000
Li1 0.801 0.699 0.480
Tl1 0.193 0.447 0.629
Si1 0.545 0.140 0.677
Br1 0.754 0.473 0.231

***

Entry 7:
VASP calculation (PBE) on Sr3Cu2Ge3 after structural relaxation.

DFT total energy, eV per atom: -3.837
N(E_F), states/eV per atom: 0.4840
Crystal system: orthorhombic
Formation energy, meV per atom: -451

Unit cell a=4.298 b=11.592 c=16.113 alpha=90.00 beta=90.00 gamma=90.00
Space group Cmcm (No. 63)
Unique sites:
Sr1 0.000 0.059 0.250
Sr2 0.000 0.351 0.095
Cu1 0.000 0.359 0.618
Ge1 0.000 0.077 0.054
Ge2 0.000 0.232 0.750

***

Entry 8:
VASP calculation (PBE) on LiAg2Bi after structural relaxation.

Energy above the lowest structure with this stoichiometry, meV/atom: 0
DFT total energy, eV per atom: -3.050
N(E_F), states/eV per atom: 0.1357
Crystal system: orthorhombic
Formation energy, meV per atom: -176

Unit cell a=5.060 b=6.091 c=5.297 alpha=90.00 beta=90.00 gamma=90.00
Space group Pmmn (No. 59, origin choice 2)
Unique sites:
Li1 0.250 0.250 0.180
Ag1 0.250 0.005 0.657
Bi1 0.250 0.750 0.166

***

Entry 9:
VASP calculation (PBE) on Ba7SrAu3 after structural relaxation.

Energy above the lowest structure with this stoichiometry, meV/atom: 3
DFT total energy, eV per atom: -2.689
N(E_F), states/eV per atom: 0.9548
Crystal system: trigonal
Formation energy, meV per atom: -419

Unit cell a=9.4329 b=9.4329 c=7.5101 alpha=90.00 beta=90.00 gamma=120.00
Space group P3m1 (No. 156)
Unique sites:
Ba1 0.0000 0.0000 0.0000
Ba2 0.1643 0.3286 0.4763
Ba3 0.5041 0.0082 0.9840
Sr1 0.6667 0.3333 0.4615
Au1 0.3390 0.1695 0.2361

***

Entry 10:
VASP calculation (PBE) on CrReTc2 after structural relaxation.

DFT total energy, eV per atom: -10.558
N(E_F), states/eV per atom: 1.1379
Crystal system: monoclinic
Formation energy, meV per atom: 143

Unit cell a=8.947 b=2.731 c=4.698 alpha=90.00 beta=100.06 gamma=90.00
Space group C2/m (No. 12)
Unique sites:
Cr1 0.000 0.000 0.000
Re1 0.000 0.500 0.500
Tc1 0.247 0.500 0.243

***

Entry 11:
VASP calculation (PBE) on Pa2BeNi4Ge3 after structural relaxation.

DFT total energy, eV per atom: -6.523
N(E_F), states/eV per atom: 0.8243
Crystal system: tetragonal
Formation energy, meV per atom: -554

Unit cell a=4.019 b=4.019 c=9.543 alpha=90.00 beta=90.00 gamma=90.00
Space group P-4m2 (No. 115)
Unique sites:
Pa1 0.000 0.500 0.246
Be1 0.500 0.500 0.000
Ni1 0.000 0.000 0.500
Ni2 0.000 0.500 0.876
Ni3 0.500 0.500 0.500
Ge1 0.000 0.000 0.000
Ge2 0.000 0.500 0.633

***

Entry 12:
VASP calculation (PBE) on Co2RuCl8 after structural relaxation.

DFT total energy, eV per atom: -3.990
N(E_F), states/eV per atom: 0.9217
Energy relative to the elements, uncorrected, meV per atom: -512
Crystal system: monoclinic

Unit cell a=11.673 b=9.438 c=5.913 alpha=90.00 beta=94.45 gamma=90.00
Space group C2/m (No. 12)
Unique sites:
Co1 0.182 0.000 0.130
Ru1 0.000 0.000 0.500
Cl1 0.085 0.178 0.281
Cl2 0.139 0.500 0.776
Cl3 0.169 0.000 0.749

***

Entry 13:
VASP calculation (PBE) on K4V3Cl10 after structural relaxation.

DFT total energy, eV per atom: -4.441
N(E_F), states/eV per atom: 0.1114
Energy relative to the elements, uncorrected, meV per atom: -1487
Crystal system: tetragonal

Unit cell a=4.972 b=4.972 c=35.484 alpha=90.00 beta=90.00 gamma=90.00
Space group I4/mmm (No. 139)
Unique sites:
K1 0.000 0.000 0.068
K2 0.000 0.000 0.200
V1 0.000 0.000 0.357
V2 0.000 0.000 0.500
Cl1 0.000 0.000 0.289
Cl2 0.000 0.000 0.430
Cl3 0.000 0.500 0.000
Cl4 0.000 0.500 0.138

***

Entry 14:
VASP calculation (PBE) on BaSb2RhI after structural relaxation.

Energy above the lowest structure with this stoichiometry, meV/atom: 1632
DFT total energy, eV per atom: -2.603
N(E_F), states/eV per atom: 1.3930
Energy relative to the elements, uncorrected, meV per atom: 1211
Crystal system: tetragonal

Unit cell a=6.536 b=6.536 c=6.522 alpha=90.00 beta=90.00 gamma=90.00
Space group P4/mmm (No. 123)
Unique sites:
Ba1 0.000 0.000 0.000
Sb1 0.000 0.500 0.000
Rh1 0.500 0.500 0.500
I1 0.000 0.000 0.500

***

Entry 15:
VASP calculation (PBE) on HfZrReRh after structural relaxation.

Energy above the lowest structure with this stoichiometry, meV/atom: 33
DFT total energy, eV per atom: -10.196
N(E_F), states/eV per atom: 0.1354
Crystal system: cubic
Formation energy, meV per atom: -620

Unit cell a=6.570 b=6.570 c=6.570 alpha=90.00 beta=90.00 gamma=90.00
Space group F-43m (No. 216)
Unique sites:
Hf1 0.000 0.000 0.000
Zr1 0.000 0.000 0.500
Re1 0.250 0.250 0.750
Rh1 0.250 0.250 0.250

***

Entry 16:
VASP calculation (PBE) on Ca2OsRu after structural relaxation.

Energy above the lowest structure with this stoichiometry, meV/atom: 404
DFT total energy, eV per atom: -5.487
N(E_F), states/eV per atom: 1.0116
Crystal system: monoclinic
Formation energy, meV per atom: 640

Unit cell a=2.928 b=4.693 c=5.504 alpha=90.00 beta=97.69 gamma=90.00
Space group P2/m (No. 10)
Unique sites:
Ca1 0.238 0.000 0.251
Os1 0.500 0.500 0.000
Ru1 0.000 0.500 0.500

***

Entry 17:
VASP calculation (PBE) on Pm2Cd13 after structural relaxation.

DFT total energy, eV per atom: -1.467
N(E_F), states/eV per atom: 0.4257
Crystal system: trigonal
Formation energy, meV per atom: -40

Unit cell a=7.9042 b=7.9042 c=21.2333 alpha=90.00 beta=90.00 gamma=120.00
Space group R-3m (No. 166, hexagonal axes)
Unique sites:
Pm1 0.0000 0.0000 0.1570
Cd1 0.0000 0.0000 0.0000
Cd2 0.0730 0.5365 0.3838
Cd3 0.0902 0.5451 0.2330

***

Entry 18:
VASP calculation (PBE) on TiS5Cl after structural relaxation.

DFT total energy, eV per atom: -4.797
N(E_F), states/eV per atom: 0.4502
Energy relative to the elements, uncorrected, meV per atom: -457
Crystal system: monoclinic

Unit cell a=6.447 b=15.311 c=4.962 alpha=90.00 beta=123.99 gamma=90.00
Space group C2 (No. 5)
Unique sites:
Ti1 0.000 0.000 0.000
S1 0.000 0.851 0.000
S2 0.103 0.409 0.751
S3 0.186 0.144 0.132
Cl1 0.000 0.008 0.500

***

Entry 19:
VASP calculation (PBE) on FeHgRu2 after structural relaxation.

DFT total energy, eV per atom: -6.503
N(E_F), states/eV per atom: 0.8262
Crystal system: tetragonal
Formation energy, meV per atom: 326

Unit cell a=2.797 b=2.797 c=7.867 alpha=90.00 beta=90.00 gamma=90.00
Space group P4mm (No. 99)
Unique sites:
Fe1 0.000 0.000 0.000
Hg1 0.500 0.500 0.268
Ru1 0.000 0.000 0.551
Ru2 0.500 0.500 0.765

***

Entry 20:
VASP calculation (PBE) on SrAuOF2 after structural relaxation.

Energy above the lowest structure with this stoichiometry, meV/atom: 324
DFT total energy, eV per atom: -4.034
N(E_F), states/eV per atom: 0.8871
Energy relative to the elements, uncorrected, meV per atom: -1302
Crystal system: tetragonal

Unit cell a=4.599 b=4.599 c=4.830 alpha=90.00 beta=90.00 gamma=90.00
Space group P4/mmm (No. 123)
Unique sites:
Sr1 0.000 0.000 0.000
Au1 0.500 0.500 0.500
O1 0.000 0.000 0.500
F1 0.000 0.500 0.000